No. 1
Compound: Li2NpCdF8
Source: Alexandria via LeMat-Bulk
Functional: GGA-PBE
Structure: relaxed

POSCAR file:
```
Li2NpCdF8
1.0
-1.4703 -3.3903 -3.7682
4.8704 -2.0321 -0.0720
-3.1700 -0.9489 5.7867
Li Np Cd F
2 1 1 8
Direct
0.5000 0.5000 0.0000 Li
0.2500 0.7500 0.5000 Li
0.0000 0.0000 0.0000 Np
0.7500 0.2500 0.5000 Cd
0.7544 0.8554 0.1593 F
0.4048 0.3039 0.1593 F
0.6140 0.6745 0.6748 F
0.0608 0.0003 0.6748 F
0.9997 0.3860 0.3252 F
0.3255 0.9392 0.3252 F
0.1446 0.5952 0.8407 F
0.6961 0.2456 0.8407 F
```

Results
* energy relative to the elements, uncorrected: -68.89 kcal/mol of atoms
* SG: No. 82

No. 2
Compound: LiCdOF2
Source: Alexandria via LeMat-Bulk
Functional: GGA-PBE
Structure: relaxed

POSCAR file:
```
LiCdOF2
1.0
3.6504 0.0000 0.0000
0.0000 3.6504 0.0000
0.0000 0.0000 4.0752
F Li O Cd
2 1 1 1
Direct
0.0000 0.5000 0.0000 F
0.5000 0.0000 0.0000 F
0.0000 0.0000 0.0000 Li
0.0000 0.0000 0.5000 O
0.5000 0.5000 0.5000 Cd
```

Results
* energy relative to the lowest polymorph listed for this composition: 0 meV per atom
* energy relative to the elements, uncorrected: -35.00 kcal/mol of atoms
* SG: No. 123

No. 3
Compound: LiCdOF2
Source: Alexandria via LeMat-Bulk
Functional: GGA-PBE
Structure: relaxed

POSCAR file:
```
LiCdOF2
1.0
4.4224 0.0000 0.0000
0.0000 4.4224 0.0000
0.0000 0.0000 4.1770
F Li O Cd
2 1 1 1
Direct
0.0000 0.5000 0.0000 F
0.5000 0.0000 0.0000 F
0.5000 0.5000 0.5000 Li
0.0000 0.0000 0.5000 O
0.0000 0.0000 0.0000 Cd
```

Results
* energy relative to the lowest polymorph listed for this composition: 123 meV per atom
* energy relative to the elements, uncorrected: -32.16 kcal/mol of atoms
* SG: No. 123

No. 4
Compound: Li2CdPF
Source: Alexandria via LeMat-Bulk
Functional: GGA-PBE
Structure: relaxed

POSCAR file:
```
Li2CdPF
1.0
-3.6282 -0.8850 0.7148
0.7260 -5.2232 -2.7813
1.0391 -1.6055 3.2864
P F Li Cd
1 1 2 1
Direct
0.0000 0.5000 0.0000 P
0.0000 0.0000 0.0000 F
0.0000 0.0000 0.5000 Li
0.5000 0.0000 0.0000 Li
0.5000 0.5000 0.5000 Cd
```

Results
* energy relative to the elements, uncorrected: -20.79 kcal/mol of atoms
* SG: No. 123

No. 5
Compound: LiCdPbF6
Source: Alexandria via LeMat-Bulk
Functional: GGA-PBE
Structure: relaxed

POSCAR file:
```
LiCdPbF6
1.0
-4.7629 -1.3495 2.4630
-3.6388 -3.2461 -2.6067
2.1765 -4.0414 1.9950
Li Cd Pb F
1 1 1 6
Direct
0.3333 0.3334 0.5000 Li
0.6666 0.6667 0.5000 Cd
0.0000 0.0000 0.0000 Pb
0.0206 0.3264 0.2659 F
0.3264 0.0206 0.7340 F
0.6529 0.3265 0.7341 F
0.0205 0.6530 0.7340 F
0.3265 0.6530 0.2659 F
0.6530 0.0205 0.2660 F
```

Results
* energy relative to the elements, uncorrected: -52.45 kcal/mol of atoms
* SG: No. 149

No. 6
Compound: Li2CdPbF6
Source: Alexandria via LeMat-Bulk
Functional: GGA-PBE
Structure: relaxed

POSCAR file:
```
Li2CdPbF6
1.0
5.5937 -0.0001 0.0008
2.7967 4.8436 0.0007
2.7975 1.6151 4.7712
Li Cd Pb F
2 1 1 6
Direct
0.5186 0.5187 0.4439 Li
0.0199 0.0199 0.9398 Li
0.3032 0.3032 0.0904 Cd
0.7912 0.7912 0.6264 Pb
0.6447 0.2439 0.2356 F
0.2440 0.8758 0.2358 F
0.8760 0.6448 0.2357 F
0.3302 0.7436 0.7358 F
0.7436 0.1903 0.7359 F
0.1903 0.3301 0.7360 F
```

Results
* energy relative to the elements, uncorrected: -58.14 kcal/mol of atoms
* SG: No. 146

No. 7
Compound: Li2CdPdF8
Source: Alexandria via LeMat-Bulk
Functional: GGA-PBE
Structure: relaxed

POSCAR file:
```
Li2CdPdF8
1.0
-4.0477 2.1908 -1.2984
-1.4956 -4.0567 -2.0491
-2.8748 -1.8702 5.7890
Li Cd Pd F
2 1 1 8
Direct
0.4996 0.4996 0.7332 Li
0.5004 0.5004 0.2668 Li
0.0000 0.0000 0.5000 Cd
0.0000 0.0000 0.0000 Pd
0.1952 0.8015 0.2128 F
0.7081 0.7121 0.0003 F
0.8047 0.1984 0.2128 F
0.8048 0.1985 0.7872 F
0.2919 0.2879 0.9997 F
0.1953 0.8016 0.7872 F
0.6836 0.6864 0.5001 F
0.3164 0.3136 0.4999 F
```

Results
* energy relative to the elements, uncorrected: -47.45 kcal/mol of atoms
* SG: No. 10

No. 8
Compound: LiCdPtF6
Source: Alexandria via LeMat-Bulk
Functional: GGA-PBE
Structure: relaxed

POSCAR file:
```
LiCdPtF6
1.0
4.8841 0.0000 0.0000
0.0000 4.8841 0.0000
0.0000 0.0000 10.3427
Li Cd Pt F
2 2 2 12
Direct
0.5000 0.5000 0.1586 Li
0.0000 0.0000 0.6586 Li
0.5000 0.5000 0.5022 Cd
0.0000 0.0000 0.0022 Cd
0.5000 0.5000 0.8320 Pt
0.0000 0.0000 0.3320 Pt
0.1824 0.8176 0.5012 F
0.8176 0.1824 0.5012 F
0.3176 0.3176 0.0012 F
0.6824 0.6824 0.0012 F
0.2031 0.7969 0.1746 F
0.7969 0.2031 0.1746 F
0.2969 0.2969 0.6746 F
0.7031 0.7031 0.6746 F
0.7883 0.2117 0.8278 F
0.2117 0.7883 0.8278 F
0.7117 0.7117 0.3278 F
0.2883 0.2883 0.3278 F
```

Results
* energy relative to the elements, uncorrected: -43.23 kcal/mol of atoms
* SG: No. 102

No. 9
Compound: LiPuCdF6
Source: Alexandria via LeMat-Bulk
Functional: GGA-PBE
Structure: relaxed

POSCAR file:
```
LiPuCdF6
1.0
5.6755 0.0000 0.0000
-2.8377 4.9151 0.0000
0.0000 0.0000 9.5444
Li Pu Cd F
2 2 2 12
Direct
0.3333 0.6667 0.2500 Li
0.6667 0.3333 0.7500 Li
0.6667 0.3333 0.2500 Pu
0.3333 0.6667 0.7500 Pu
0.0000 0.0000 0.0000 Cd
0.0000 0.0000 0.5000 Cd
0.6507 0.6784 0.1319 F
0.0277 0.3493 0.1319 F
0.3493 0.0277 0.6319 F
0.9723 0.6507 0.8681 F
0.3216 0.3493 0.3681 F
0.0277 0.6784 0.3681 F
0.6784 0.0277 0.8681 F
0.6507 0.9723 0.3681 F
0.9723 0.3216 0.6319 F
0.3216 0.9723 0.1319 F
0.6784 0.6507 0.6319 F
0.3493 0.3216 0.8681 F
```

Results
* energy relative to the elements, uncorrected: -67.49 kcal/mol of atoms
* SG: No. 163

No. 10
Compound: RbLiCdF4
Source: Alexandria via LeMat-Bulk
Functional: GGA-PBE
Structure: relaxed

POSCAR file:
```
RbLiCdF4
1.0
5.4781 0.0000 -0.7103
0.0000 5.7759 0.0000
-3.0718 0.0000 7.5627
Rb Li Cd F
2 2 2 8
Direct
0.6062 0.7500 0.9163 Rb
0.3938 0.2500 0.0837 Rb
0.1841 0.7500 0.3168 Li
0.8159 0.2500 0.6832 Li
0.7824 0.7500 0.4627 Cd
0.2176 0.2500 0.5373 Cd
0.0612 0.4899 0.6951 F
0.9388 0.9899 0.3049 F
0.9388 0.5101 0.3049 F
0.0612 0.0101 0.6951 F
0.3701 0.7500 0.1783 F
0.6299 0.2500 0.8217 F
0.4751 0.7500 0.5597 F
0.5249 0.2500 0.4403 F
```

Results
* energy relative to the elements, uncorrected: -58.53 kcal/mol of atoms
* SG: No. 11

No. 11
Compound: Rb3Li2CdF9
Source: Alexandria via LeMat-Bulk
Functional: GGA-PBE
Structure: relaxed

POSCAR file:
```
Rb3Li2CdF9
1.0
5.9931 0.0000 0.0000
-2.9966 5.1902 0.0000
0.0000 0.0000 7.4380
Rb Li Cd F
3 2 1 9
Direct
0.3333 0.6667 0.6779 Rb
0.0000 0.0000 0.0000 Rb
0.6667 0.3333 0.3221 Rb
0.3333 0.6667 0.1477 Li
0.6667 0.3333 0.8523 Li
0.0000 0.0000 0.5000 Cd
0.8309 0.1691 0.6695 F
0.8309 0.6617 0.6695 F
0.3383 0.1691 0.6695 F
0.6617 0.8309 0.3305 F
0.1691 0.3383 0.3305 F
0.1691 0.8309 0.3305 F
0.5000 0.0000 0.0000 F
0.0000 0.5000 0.0000 F
0.5000 0.5000 0.0000 F
```

Results
* energy relative to the elements, uncorrected: -53.53 kcal/mol of atoms
* SG: No. 164

No. 12
Compound: RbLi2Cd2F7
Source: Alexandria via LeMat-Bulk
Functional: GGA-PBE
Structure: relaxed

POSCAR file:
```
RbLi2Cd2F7
1.0
4.4436 0.0001 -0.0005
0.0001 4.4434 -0.0007
-2.2229 -2.2232 9.0540
Rb Li Cd F
1 2 2 7
Direct
0.0000 0.0000 0.0000 Rb
0.2504 0.7494 0.5002 Li
0.7496 0.2499 0.4998 Li
0.3765 0.3765 0.7530 Cd
0.6235 0.6234 0.2470 Cd
0.3692 0.8692 0.7384 F
0.7467 0.7470 0.4937 F
0.1304 0.6304 0.2609 F
0.6308 0.1308 0.2616 F
0.2533 0.2536 0.5063 F
0.8696 0.3697 0.7391 F
0.5001 0.4997 0.0000 F
```

Results
* energy relative to the elements, uncorrected: -57.53 kcal/mol of atoms
* SG: No. 139